Record 1
Compound: CsRbH2Pt
Source: the Alexandria database
Functional: PBE-GGA
Structure: relaxed

POSCAR file:
```
CsRbH2Pt
1.0
5.8656 0.0000 0.0000
-2.8702 5.1353 0.0000
-2.8826 -1.7392 4.8390
Cs Rb H Pt
1 1 2 1
Cartesian
0.0000 0.0000 0.0000
-2.8758 1.7044 2.4150
1.2156 2.7278 0.2141
-1.0957 4.1155 2.1988
0.0599 3.4215 1.2066
```

Calculated values
**Total moment**: 0.13 μB/cell
**Raw total energy**: -16.19 eV/cell


Record 2
Compound: CsRbH2Pt
Source: the Alexandria database
Functional: PBE-GGA
Structure: relaxed

POSCAR file:
```
CsRbH2Pt
1.0
4.2033 0.0000 0.0000
0.0000 2.1728 7.7001
0.0000 -2.1728 7.7001
Cs Rb H Pt
1 1 2 1
Cartesian
0.0000 0.0000 0.0000
0.0000 0.0000 3.5680
2.1017 0.0000 11.3923
2.1017 0.0000 12.3189
2.1017 0.0000 9.5683
```

Calculated values
**Total moment**: 0.00 μB/cell
**Raw total energy**: -14.51 eV/cell


Record 3
Compound: CsRbH2Pt
Source: the Alexandria database
Functional: PBE-GGA
Structure: relaxed

POSCAR file:
```
CsRbH2Pt
1.0
4.3300 0.0000 0.0000
-0.0195 5.6621 0.0000
-0.0195 -0.3569 5.7696
Cs Rb H Pt
1 1 2 1
Cartesian
0.0000 0.0000 0.0000
-0.0175 2.6580 2.8823
2.1460 1.0863 4.0131
2.1478 4.2426 1.7720
2.1568 -0.1669 2.8924
```

Calculated values
**Total moment**: 0.00 μB/cell
**Raw total energy**: -15.99 eV/cell


Record 4
Compound: CsRbH2Pt
Source: the Alexandria database
Functional: PBE-GGA
Structure: relaxed

POSCAR file:
```
CsRbH2Pt
1.0
4.6004 0.0000 0.0000
-0.0141 5.2426 0.0000
-2.2863 -1.2934 5.9234
Cs Rb H Pt
1 1 2 1
Cartesian
0.0000 0.0000 0.0000
2.3137 1.4963 2.9835
0.0164 2.9543 2.0299
0.0113 0.0651 4.4332
0.0064 4.1196 3.2460
```

Calculated values
**Total moment**: 0.04 μB/cell
**Raw total energy**: -15.94 eV/cell


Record 5
Compound: CsRbH2Pt
Source: the Alexandria database
Functional: PBE-GGA
Structure: relaxed

POSCAR file:
```
CsRbH2Pt
1.0
3.1162 -3.1162 0.0000
3.1162 3.1162 0.0000
-3.1133 0.0000 6.5097
Cs Rb H Pt
1 1 2 1
Cartesian
0.0000 0.0000 0.0000
0.0212 0.0000 3.4991
3.1123 0.0000 0.1173
3.1446 0.0000 3.4811
3.1283 0.0000 1.8064
```

Calculated values
**Total moment**: 0.00 μB/cell
**Raw total energy**: -16.04 eV/cell


Record 6
Compound: CsSbH2Pt
Source: the Alexandria database
Functional: PBE-GGA
Structure: relaxed

POSCAR file:
```
CsSbH2Pt
1.0
3.7628 -2.5215 0.0000
3.7628 2.5215 0.0000
-0.0552 0.0000 5.8810
Cs Sb H Pt
1 1 2 1
Cartesian
0.0000 0.0000 0.0000
2.5903 0.0000 2.8566
2.6588 0.0000 4.6255
6.9129 0.0000 2.9709
5.3098 0.0000 2.7822
```

Calculated values
**Total moment**: 0.00 μB/cell
**Raw total energy**: -18.90 eV/cell


Record 7
Compound: CsSbH2Pt
Source: the Alexandria database
Functional: PBE-GGA
Structure: relaxed

POSCAR file:
```
CsSbH2Pt
1.0
4.9224 0.0000 0.0000
0.0266 5.9012 0.0000
0.0294 1.9994 5.5556
Cs Sb H Pt
1 1 2 1
Cartesian
0.0000 0.0000 0.0000
2.4706 2.9424 2.0703
2.5317 5.7907 4.5278
2.5330 6.2347 3.9129
4.9318 2.9237 2.0577
```

Calculated values
**Total moment**: 0.00 μB/cell
**Raw total energy**: -18.03 eV/cell


Record 8
Compound: CsSbH2Pt
Source: the Alexandria database
Functional: PBE-GGA
Structure: relaxed

POSCAR file:
```
CsSbH2Pt
1.0
6.0086 -2.1692 0.0000
6.0086 2.1692 0.0000
-2.2271 0.0000 6.1323
Cs Sb H Pt
1 1 2 1
Cartesian
0.0000 0.0000 0.0000
6.7039 0.0000 3.3369
3.6355 0.0000 0.8274
3.8845 0.0000 1.5601
0.9758 0.0000 4.5547
```

Calculated values
**Total moment**: 0.00 μB/cell
**Raw total energy**: -18.00 eV/cell


Record 9
Compound: CsSbH2Pt
Source: the Alexandria database
Functional: PBE-GGA
Structure: relaxed

POSCAR file:
```
CsSbH2Pt
1.0
4.5445 -2.3786 0.0000
4.5445 2.3786 0.0000
-0.0810 0.0000 5.8898
Cs Sb H Pt
1 1 2 1
Cartesian
0.0000 0.0000 0.0000
2.6466 0.0000 3.1044
4.5829 0.0000 2.6623
6.2485 0.0000 0.9781
6.3372 0.0000 2.5688
```

Calculated values
**Total moment**: 0.00 μB/cell
**Raw total energy**: -18.56 eV/cell


Record 10
Compound: CsSbH2Pt
Source: the Alexandria database
Functional: PBE-GGA
Structure: relaxed

POSCAR file:
```
CsSbH2Pt
1.0
4.6304 0.0000 0.0000
-2.3152 4.0101 0.0000
0.0000 0.0000 6.1243
Cs Sb H Pt
1 1 2 1
Cartesian
0.0000 0.0000 0.0000
0.0000 2.6734 3.0622
2.3152 1.3367 1.4009
2.3152 1.3367 4.7235
2.3152 1.3367 3.0622
```

Calculated values
**Total moment**: 0.81 μB/cell
**Raw total energy**: -19.07 eV/cell


Record 11
Compound: CsSbH2Pt
Source: the Alexandria database
Functional: PBE-GGA
Structure: relaxed

POSCAR file:
```
CsSbH2Pt
1.0
4.7482 0.0000 0.0000
0.0000 3.5008 0.0000
-1.9705 0.0000 6.4589
Cs Sb H Pt
1 1 2 1
Cartesian
0.0000 0.0000 0.0000
2.4064 1.7504 2.6651
-0.1603 0.0000 3.9901
0.7012 1.7504 5.3082
-0.0053 1.7504 3.8273
```

Calculated values
**Total moment**: 0.00 μB/cell
**Raw total energy**: -18.66 eV/cell


Record 12
Compound: CsSbH2Pt
Source: the Alexandria database
Functional: PBE-GGA
Structure: relaxed

POSCAR file:
```
CsSbH2Pt
1.0
4.4879 0.0000 0.0000
1.6791 4.1628 0.0000
0.2377 0.1507 6.1633
Cs Sb H Pt
1 1 2 1
Cartesian
0.0000 0.0000 0.0000
4.2852 2.8750 3.2828
0.6061 0.3904 2.9222
3.1190 2.0912 1.9141
1.9400 1.2917 2.8666
```

Calculated values
**Total moment**: 0.00 μB/cell
**Raw total energy**: -18.98 eV/cell